# 1
The following is a DFT calculation (PBEsol) of a relaxed Mn3CoO8 crystal.

Properties
For the energy relative to the lowest polymorph listed for this composition, the calculation gives 0.000 eV per atom. For the formation energy from raw total energies, the calculation gives -1.433 eV per atom. For the total energy, the calculation gives -192.411 eV per cell. Its symmetry is P6_3mc. The calculation puts the density of states at the Fermi level at 7.4 states/eV per cell.

Lattice parameters (Å, degrees): 5.5965 5.5965 8.5126 90.00 90.00 120.00
Fractional coordinates of all 24 atoms:
Mn 0.1673 0.3347 0.0000
Mn 0.1673 0.8327 0.0000
Mn 0.3347 0.1673 0.5000
Mn 0.6653 0.8327 0.0000
Mn 0.8327 0.1673 0.5000
Mn 0.8327 0.6653 0.5000
Co 0.3333 0.6667 0.7220
Co 0.6667 0.3333 0.2220
O 0.0000 0.0000 0.3881
O 0.0000 0.0000 0.8881
O 0.0449 0.5225 0.8667
O 0.1692 0.3384 0.6073
O 0.1692 0.8308 0.6073
O 0.3333 0.6667 0.1145
O 0.3384 0.1692 0.1073
O 0.4775 0.5225 0.8667
O 0.4775 0.9551 0.8667
O 0.5225 0.0449 0.3667
O 0.5225 0.4775 0.3667
O 0.6616 0.8308 0.6073
O 0.6667 0.3333 0.6145
O 0.8308 0.1692 0.1073
O 0.8308 0.6616 0.1073
O 0.9551 0.4775 0.3667


# 2
The following is a DFT calculation (PBEsol) of a relaxed Mn2CoO4 crystal.

Properties
For the formation energy from raw total energies, the calculation gives -1.343 eV per atom. For the total energy, the calculation gives -115.322 eV per cell. Its symmetry is Fd-3m. The calculation puts the density of states at the Fermi level at 8.4 states/eV per cell.

Lattice parameters (Å, degrees): 5.7257 5.7257 5.7257 60.00 60.00 60.00
Fractional coordinates of all 14 atoms:
Mn 0.0000 0.0000 0.0000
Mn 0.0000 0.0000 0.5000
Mn 0.0000 0.5000 0.0000
Mn 0.5000 0.0000 0.0000
Co 0.3750 0.3750 0.3750
Co 0.6250 0.6250 0.6250
O 0.2181 0.7606 0.7606
O 0.2394 0.2394 0.2394
O 0.2394 0.2394 0.7819
O 0.2394 0.7819 0.2394
O 0.7606 0.2181 0.7606
O 0.7606 0.7606 0.2181
O 0.7606 0.7606 0.7606
O 0.7819 0.2394 0.2394


# 3
The following is a DFT calculation (PBEsol) of a relaxed MnCo3O8 crystal.

Properties
For the formation energy from raw total energies, the calculation gives -1.029 eV per atom. For the total energy, the calculation gives -349.254 eV per cell. Its symmetry is P4_332. The calculation puts the density of states at the Fermi level at 29.2 states/eV per cell.

Lattice parameters (Å, degrees): 7.8872 7.8872 7.8872 90.00 90.00 90.00
Fractional coordinates of all 48 atoms:
Mn 0.1250 0.1250 0.1250
Mn 0.3750 0.8750 0.6250
Mn 0.6250 0.3750 0.8750
Mn 0.8750 0.6250 0.3750
Co 0.1247 0.3750 0.3747
Co 0.1250 0.6253 0.6247
Co 0.1253 0.8753 0.8750
Co 0.3747 0.1247 0.3750
Co 0.3750 0.3747 0.1247
Co 0.3753 0.6250 0.8747
Co 0.6247 0.1250 0.6253
Co 0.6253 0.6247 0.1250
Co 0.6250 0.8747 0.3753
Co 0.8750 0.1253 0.8753
Co 0.8747 0.3753 0.6250
Co 0.8753 0.8750 0.1253
O 0.1069 0.3931 0.6069
O 0.1103 0.1112 0.8857
O 0.1112 0.8857 0.1103
O 0.1143 0.6103 0.3888
O 0.1357 0.8612 0.6397
O 0.1388 0.1397 0.3643
O 0.1397 0.3643 0.1388
O 0.1431 0.6431 0.8569
O 0.3569 0.3569 0.3569
O 0.3603 0.6357 0.6388
O 0.3612 0.8603 0.8643
O 0.3643 0.1388 0.1397
O 0.3857 0.3897 0.8888
O 0.3888 0.1143 0.6103
O 0.3897 0.8888 0.3857
O 0.3931 0.6069 0.1069
O 0.6069 0.1069 0.3931
O 0.6103 0.3888 0.1143
O 0.6112 0.6143 0.8897
O 0.6143 0.8897 0.6112
O 0.6357 0.6388 0.3603
O 0.6388 0.3603 0.6357
O 0.6397 0.1357 0.8612
O 0.6431 0.8569 0.1431
O 0.8569 0.1431 0.6431
O 0.8603 0.8643 0.3612
O 0.8612 0.6397 0.1357
O 0.8643 0.3612 0.8603
O 0.8857 0.1103 0.1112
O 0.8888 0.3857 0.3897
O 0.8897 0.6112 0.6143
O 0.8931 0.8931 0.8931


# 4
The following is a DFT calculation (PBEsol) of a relaxed MnCoO4 crystal.

Properties
For the formation energy from raw total energies, the calculation gives -1.223 eV per atom. For the total energy, the calculation gives -45.833 eV per cell. Its symmetry is P2/m. The calculation puts the density of states at the Fermi level at 3.0 states/eV per cell.

Lattice parameters (Å, degrees): 4.8655 2.8146 4.9262 90.00 109.62 90.00
Fractional coordinates of all 6 atoms:
Mn 0.0000 0.0000 0.0000
Co 0.5000 0.5000 0.0000
O 0.2385 0.5000 0.2038
O 0.2695 0.0000 0.8004
O 0.7305 0.0000 0.1996
O 0.7615 0.5000 0.7962


# 5
The following is a DFT calculation (PBEsol) of a relaxed Mn3Co2O8 crystal.

Properties
For the formation energy from raw total energies, the calculation gives -1.386 eV per atom. For the total energy, the calculation gives -209.551 eV per cell. Its symmetry is Pmn2_1. The calculation puts the density of states at the Fermi level at 14.2 states/eV per cell.

Lattice parameters (Å, degrees): 5.6635 4.8597 9.0819 90.00 90.00 90.00
Fractional coordinates of all 26 atoms:
Mn 0.0000 0.1727 0.0000
Mn 0.2404 0.3398 0.4977
Mn 0.2596 0.6602 0.9977
Mn 0.5000 0.8273 0.5000
Mn 0.7405 0.6602 0.9977
Mn 0.7595 0.3398 0.4977
Co 0.0000 0.8331 0.2902
Co 0.0000 0.8402 0.6803
Co 0.5000 0.1598 0.1803
Co 0.5000 0.1669 0.7902
O 0.0000 0.1810 0.3899
O 0.0000 0.4788 0.6153
O 0.0000 0.5052 0.1087
O 0.0000 0.8355 0.8882
O 0.2206 0.9775 0.1257
O 0.2447 0.3342 0.8906
O 0.2553 0.6658 0.3906
O 0.2794 0.0225 0.6257
O 0.5000 0.1645 0.3882
O 0.5000 0.4948 0.6087
O 0.5000 0.5212 0.1153
O 0.5000 0.8190 0.8899
O 0.7206 0.0225 0.6257
O 0.7447 0.6658 0.3906
O 0.7553 0.3342 0.8906
O 0.7794 0.9775 0.1257


# 6
The following is a DFT calculation (PBEsol) of a relaxed Mn3CoO8 crystal.

Properties
For the energy relative to the lowest polymorph listed for this composition, the calculation gives 0.052 eV per atom. For the formation energy from raw total energies, the calculation gives -1.381 eV per atom. For the total energy, the calculation gives -95.582 eV per cell. Its symmetry is R-3m. The calculation puts the density of states at the Fermi level at 9.4 states/eV per cell.

Lattice parameters (Å, degrees): 5.5805 5.5805 5.5805 61.12 61.12 61.12
Fractional coordinates of all 12 atoms:
Mn 0.0000 0.5000 0.5000
Mn 0.5000 0.0000 0.5000
Mn 0.5000 0.5000 0.0000
Co 0.5000 0.5000 0.5000
O 0.2624 0.2624 0.2624
O 0.2654 0.2654 0.7085
O 0.2654 0.7085 0.2654
O 0.2915 0.7346 0.7346
O 0.7085 0.2654 0.2654
O 0.7346 0.2915 0.7346
O 0.7346 0.7346 0.2915
O 0.7376 0.7376 0.7376


# 7
The following is a DFT calculation (PBEsol) of a relaxed MnCoPO2 crystal.

Properties
For the formation energy from raw total energies, the calculation gives -0.223 eV per atom. For the total energy, the calculation gives -34.902 eV per cell. Its symmetry is P4/mmm. The calculation puts the density of states at the Fermi level at 2.5 states/eV per cell.

Lattice parameters (Å, degrees): 3.5359 3.5359 4.8304 90.00 90.00 90.00
Fractional coordinates of all 5 atoms:
Mn 0.0000 0.0000 0.0000
Co 0.5000 0.5000 0.5000
P 0.5000 0.5000 0.0000
O 0.0000 0.5000 0.5000
O 0.5000 0.0000 0.5000


# 8
The following is a DFT calculation (PBEsol) of a relaxed MnCoP2O8 crystal.

Properties
For the formation energy from raw total energies, the calculation gives -1.764 eV per atom. For the total energy, the calculation gives -276.725 eV per cell. Its symmetry is R3. The calculation puts the density of states at the Fermi level at 19.8 states/eV per cell.

Lattice parameters (Å, degrees): 8.2402 8.2402 8.2402 61.47 61.47 61.47
Fractional coordinates of all 36 atoms:
Mn 0.0000 0.0000 0.0000
Mn 0.2226 0.2226 0.2226
Mn 0.7223 0.7223 0.7223
Co 0.3646 0.3646 0.3646
Co 0.4993 0.4993 0.4993
Co 0.8626 0.8626 0.8626
P 0.1074 0.8252 0.3987
P 0.3225 0.6084 0.9025
P 0.3987 0.1074 0.8252
P 0.6084 0.9025 0.3225
P 0.8252 0.3987 0.1074
P 0.9025 0.3225 0.6084
O 0.0280 0.8720 0.2430
O 0.1077 0.3087 0.4450
O 0.1158 0.7704 0.9289
O 0.1767 0.9849 0.3637
O 0.2430 0.0280 0.8720
O 0.2657 0.6233 0.4100
O 0.3087 0.4450 0.1077
O 0.3490 0.5469 0.7449
O 0.3637 0.1767 0.9849
O 0.4100 0.2657 0.6233
O 0.4450 0.1077 0.3087
O 0.4870 0.6719 0.8663
O 0.5469 0.7449 0.3490
O 0.6041 0.9444 0.8107
O 0.6233 0.4100 0.2657
O 0.6719 0.8663 0.4870
O 0.7449 0.3490 0.5469
O 0.7704 0.9289 0.1158
O 0.8107 0.6041 0.9444
O 0.8663 0.4870 0.6719
O 0.8720 0.2430 0.0280
O 0.9289 0.1158 0.7704
O 0.9444 0.8107 0.6041
O 0.9849 0.3637 0.1767


Which of these has the lowest total energy?
MnCo3O8


Repeat the sixth record exactly.
The following is a DFT calculation (PBEsol) of a relaxed Mn3CoO8 crystal.

Properties
For the energy relative to the lowest polymorph listed for this composition, the calculation gives 0.052 eV per atom. For the formation energy from raw total energies, the calculation gives -1.381 eV per atom. For the total energy, the calculation gives -95.582 eV per cell. Its symmetry is R-3m. The calculation puts the density of states at the Fermi level at 9.4 states/eV per cell.

Lattice parameters (Å, degrees): 5.5805 5.5805 5.5805 61.12 61.12 61.12
Fractional coordinates of all 12 atoms:
Mn 0.0000 0.5000 0.5000
Mn 0.5000 0.0000 0.5000
Mn 0.5000 0.5000 0.0000
Co 0.5000 0.5000 0.5000
O 0.2624 0.2624 0.2624
O 0.2654 0.2654 0.7085
O 0.2654 0.7085 0.2654
O 0.2915 0.7346 0.7346
O 0.7085 0.2654 0.2654
O 0.7346 0.2915 0.7346
O 0.7346 0.7346 0.2915
O 0.7376 0.7376 0.7376


The highest total energy belongs to which entry?
MnCoPO2